[1]
DFT (PBE-GGA) results for PmYC after structural relaxation.

Summary:
* space group: Pnma, No. 62
* M_tot: 0.00 μB/f.u.
* D(E_F): 10.45 states/eV per cell
* volume: 281.9 Å³/cell
* E_form: -0.14 eV per atom
* E: -6.96 eV per atom

Unit cell a=3.638 b=6.342 c=12.217 alpha=90.00 beta=90.00 gamma=90.00
Fractional positions:
Pm  0.250  0.231  0.521
Pm  0.750  0.769  0.479
Pm  0.750  0.731  0.979
Pm  0.250  0.269  0.021
Y  0.250  0.861  0.732
Y  0.750  0.139  0.268
Y  0.750  0.361  0.768
Y  0.250  0.639  0.232
C  0.250  0.955  0.367
C  0.750  0.045  0.633
C  0.750  0.455  0.133
C  0.250  0.545  0.867



[2]
DFT (PBE-GGA) results for PmYC after structural relaxation.

Summary:
* space group: C2/m, No. 12
* M_tot: 0.33 μB/f.u.
* D(E_F): 5.03 states/eV per cell
* volume: 146.0 Å³/cell
* E_form: -0.21 eV per atom
* E: -7.02 eV per atom

Unit cell a=3.646 b=6.323 c=6.680 alpha=99.31 beta=105.84 gamma=90.00
Fractional positions:
Pm  0.388  0.629  0.777
Pm  0.612  0.371  0.223
Y  0.105  0.870  0.211
Y  0.895  0.130  0.789
C  0.000  0.500  0.000
C  0.500  0.000  0.000



[3]
DFT (PBE-GGA) results for Pm3YC2 after structural relaxation.

Summary:
* space group: P-3m1, No. 164
* M_tot: 0.00 μB/f.u.
* D(E_F): 8.56 states/eV per cell
* volume: 299.7 Å³/cell
* E_form: -0.16 eV per atom
* E: -6.69 eV per atom

Unit cell a=6.522 b=7.285 c=7.285 alpha=120.00 beta=90.00 gamma=90.00
Fractional positions:
Pm  0.783  0.166  0.834
Pm  0.783  0.667  0.834
Pm  0.783  0.166  0.333
Pm  0.217  0.834  0.667
Pm  0.217  0.834  0.166
Pm  0.217  0.333  0.166
Y  0.201  0.333  0.667
Y  0.799  0.667  0.333
C  0.000  0.000  0.000
C  0.000  0.500  0.000
C  0.000  0.000  0.500
C  0.000  0.500  0.500



[4]
DFT (PBE-GGA) results for Pm2YC after structural relaxation.

Summary:
* space group: R-3m, No. 166
* M_tot: 0.00 μB/f.u.
* D(E_F): 4.17 states/eV per cell
* volume: 112.0 Å³/cell
* E_form: 0.03 eV per atom
* E: -6.27 eV per atom

Unit cell a=3.612 b=3.612 c=10.125 alpha=79.72 beta=79.72 gamma=60.00
Fractional positions:
Y  0.000  0.000  0.000
C  0.500  0.500  0.500
Pm  0.119  0.119  0.642
Pm  0.881  0.881  0.358